The following is a DFT calculation (SCAN) of a PBEsol-optimized structure of In15SnO24.

Cell and atoms, written as POSCAR:
```
In15SnO24
1.0
7.195 -5.091 0.000
7.195 5.091 0.000
-7.194 0.000 7.222
In Sn O
15 1 24
Direct
0.000 0.000 0.000
0.182 0.251 0.466
0.215 0.781 0.748
0.219 0.785 0.252
0.250 0.316 0.034
0.434 0.566 0.500
0.467 0.031 0.716
0.467 0.033 0.217
0.684 0.750 0.966
0.717 0.282 0.251
0.718 0.283 0.749
0.749 0.818 0.534
0.934 0.066 0.500
0.967 0.533 0.783
0.969 0.533 0.284
0.502 0.498 0.000
0.171 0.548 0.239
0.183 0.013 0.488
0.212 0.052 0.978
0.225 0.511 0.522
0.261 0.021 0.259
0.262 0.554 0.014
0.443 0.302 0.723
0.446 0.738 0.986
0.452 0.829 0.761
0.484 0.246 0.979
0.489 0.320 0.293
0.489 0.775 0.478
0.672 0.049 0.479
0.680 0.511 0.707
0.698 0.557 0.277
0.723 0.009 0.212
0.751 0.057 0.794
0.754 0.516 0.021
0.943 0.249 0.206
0.948 0.788 0.022
0.951 0.328 0.521
0.979 0.739 0.741
0.987 0.817 0.512
0.991 0.277 0.788
```

**Magnetic moment**: 0.00 μB per cell
**Crystal system**: monoclinic
**Uncorrected formation energy**: -41.24 kcal/mol of atoms